# 1
Material: CsRb2Ga
Method: DFT, PBE
State: optimized geometry

Values from the calculation:
Space-group type: R-3m (166)
Total moment: 0.0 μB per cell
Energy of formation from the pure elements: 0.4008 eV/atom

abc: 4.6417 4.6417 16.2743
angles: 81.80 81.80 60.00
With the nearest neighbours (Å) after each atom.
Positions (direct):
Rb 0.9268 0.9268 0.2197  1 Ga 3.53
Rb 0.0732 0.0732 0.7803  1 Ga 3.53
Cs 0.5000 0.5000 0.5000  6 Cs 4.64
Ga 0.0000 0.0000 0.0000  2 Rb 3.53


# 2
Material: FeOsBr4
Method: DFT, PBE
State: optimized geometry

Values from the calculation:
Space-group type: F-43m (216)
Total moment: 6.4 μB per cell
E_form (uncorrected): 11.49 eV/f.u.

abc: 6.0488 6.0488 6.0488
angles: 60.00 60.00 60.00
With the nearest neighbours (Å) after each atom.
Positions (direct):
Br 0.3744 0.3744 0.3744  6 Br 3.01-3.04
Br 0.3744 0.8767 0.3744  6 Br 3.01-3.04
Br 0.8767 0.3744 0.3744  6 Br 3.01-3.04
Br 0.3744 0.3744 0.8767  6 Br 3.01-3.04
Os 0.0000 0.0000 0.0000  12 Br 3.55, 4 Fe 3.70
Fe 0.7500 0.7500 0.7500  12 Br 3.55, 4 Os 3.70


# 3
Material: HoAl6Ag12
Method: DFT, PBE
State: optimized geometry

Values from the calculation:
Space-group type: R-3m (166)
Total moment: 0.0 μB per cell
Energy of formation from the pure elements: 0.0015 eV/atom

abc: 7.4836 7.4836 7.4836
angles: 105.49 105.49 105.49
With the nearest neighbours (Å) after each atom.
Positions (direct):
Ag 0.5000 0.1171 0.8829  4 Al 2.63-2.73, 3 Ag 2.79-2.83
Ag 0.8704 0.6235 0.6235  4 Al 2.73-2.96, 4 Ag 2.83-2.94
Ag 0.1171 0.5000 0.8829  4 Al 2.63-2.73, 3 Ag 2.79-2.83
Ag 0.1296 0.3765 0.3765  4 Al 2.73-2.96, 4 Ag 2.83-2.94
Ag 0.3765 0.3765 0.1296  4 Al 2.73-2.96, 4 Ag 2.83-2.94
Ag 0.8829 0.1171 0.5000  4 Al 2.63-2.73, 3 Ag 2.79-2.83
Ag 0.1171 0.8829 0.5000  4 Al 2.63-2.73, 3 Ag 2.79-2.83
Ag 0.5000 0.8829 0.1171  4 Al 2.63-2.73, 3 Ag 2.79-2.83
Ag 0.3765 0.1296 0.3765  4 Al 2.73-2.96, 4 Ag 2.83-2.94
Ag 0.6235 0.8704 0.6235  4 Al 2.73-2.96, 4 Ag 2.83-2.94
Ag 0.6235 0.6235 0.8704  4 Al 2.73-2.96, 4 Ag 2.83-2.94
Ag 0.8829 0.5000 0.1171  4 Al 2.63-2.73, 3 Ag 2.79-2.83
Al 0.3014 0.7146 0.7146  7 Ag 2.63-2.75
Al 0.7146 0.7146 0.3014  7 Ag 2.63-2.75
Al 0.2854 0.2854 0.6986  7 Ag 2.63-2.75
Al 0.6986 0.2854 0.2854  7 Ag 2.63-2.75
Al 0.2854 0.6986 0.2854  7 Ag 2.63-2.75
Al 0.7146 0.3014 0.7146  7 Ag 2.63-2.75
Ho 0.0000 0.0000 0.0000  6 Ag 3.11


# 4
Material: TlRe2Au
Method: DFT, PBE
State: optimized geometry

Values from the calculation:
Space-group type: P4/mmm (123)
Total moment: 0.0 μB per cell
Energy of formation from the pure elements: 1.0909 eV/atom

abc: 2.8499 2.8499 8.6020
angles: 90.00 90.00 90.00
With the nearest neighbours (Å) after each atom.
Positions (direct):
Tl 0.5000 0.5000 0.2500  4 Tl 2.85, 8 Re 3.05
Re 0.0000 0.0000 0.5168  4 Au 2.84, 4 Re 2.85, 4 Tl 3.05
Re 0.0000 0.0000 0.9832  4 Au 2.84, 4 Re 2.85, 4 Tl 3.05
Au 0.5000 0.5000 0.7500  8 Re 2.84, 4 Au 2.85


# 5
Material: NiAsP2
Method: DFT, PBE
State: optimized geometry

Values from the calculation:
Space-group type: Cm (8)
Total moment: 0.0 μB per cell
Energy of formation from the pure elements: 0.0244 eV/atom

abc: 3.7972 3.7972 5.7906
angles: 82.52 82.52 53.38
With the nearest neighbours (Å) after each atom.
Positions (direct):
Ni 0.2432 0.2432 0.2120  3 P 2.25-2.30, 1 As 2.41
P 0.8288 0.8288 0.7395  1 P 2.17, 2 As 2.42
P 0.9426 0.9426 0.0712  1 P 2.17, 3 Ni 2.25-2.30
As 0.4853 0.4853 0.4773  1 Ni 2.41, 2 P 2.42


# 6
Material: MgAg3
Method: DFT, PBE
State: optimized geometry

Values from the calculation:
Space-group type: P6_3/mmc (194)
Total moment: 0.0 μB per cell
Energy of formation from the pure elements: -0.1634 eV/atom

abc: 5.8625 5.8625 4.8285
angles: 90.00 90.00 120.00
With the nearest neighbours (Å) after each atom.
Positions (direct):
Ag 0.1665 0.8335 0.7500  8 Ag 2.93-2.95, 4 Mg 2.93-2.95
Ag 0.6670 0.8335 0.7500  8 Ag 2.93-2.95, 4 Mg 2.93-2.95
Ag 0.1665 0.3330 0.7500  8 Ag 2.93-2.95, 4 Mg 2.93-2.95
Ag 0.8335 0.1665 0.2500  8 Ag 2.93-2.95, 4 Mg 2.93-2.95
Ag 0.3330 0.1665 0.2500  8 Ag 2.93-2.95, 4 Mg 2.93-2.95
Ag 0.8335 0.6670 0.2500  8 Ag 2.93-2.95, 4 Mg 2.93-2.95
Mg 0.3333 0.6667 0.2500  12 Ag 2.93-2.95
Mg 0.6667 0.3333 0.7500  12 Ag 2.93-2.95